1.
# Sm2TlHg PBE relaxed
data_Sm2TlHg
_chemical_formula_sum 'Sm4 Tl2 Hg2'
_symmetry_space_group_name_H-M 'I 4/m m m'
_symmetry_Int_Tables_number 139
_symmetry_space_group_name_Hall '-I 4 2'
_cell_length_a 5.419
_cell_length_b 5.419
_cell_length_c 7.676
_cell_angle_alpha 90.00
_cell_angle_beta 90.00
_cell_angle_gamma 90.00
loop_
_atom_site_label
_atom_site_fract_x
_atom_site_fract_y
_atom_site_fract_z
_atom_site_occupancy
Sm1 0.000 0.500 0.250 1
Tl1 0.000 0.000 0.000 1
Hg1 0.000 0.000 0.500 1
# Formation enthalpy at 0 K ... -0.4280 eV per atom

***

2.
# Sm6TlHg6 PBE relaxed
data_Sm6TlHg6
_chemical_formula_sum 'Sm6 Tl1 Hg6'
_symmetry_space_group_name_H-M 'P 6/m m m'
_symmetry_Int_Tables_number 191
_symmetry_space_group_name_Hall '-P 6 2'
_cell_length_a 6.3285
_cell_length_b 6.3285
_cell_length_c 10.7130
_cell_angle_alpha 90.00
_cell_angle_beta 90.00
_cell_angle_gamma 120.00
loop_
_atom_site_label
_atom_site_fract_x
_atom_site_fract_y
_atom_site_fract_z
_atom_site_occupancy
Sm1 0.0000 0.0000 0.1792 1
Sm2 0.3333 0.6667 0.0000 1
Sm3 0.3333 0.6667 0.5000 1
Tl1 0.0000 0.0000 0.5000 1
Hg1 0.0000 0.5000 0.2519 1
# Formation enthalpy at 0 K ... -0.2871 eV per atom

***

3.
# Sm2Tl2Hg3 PBE relaxed
data_Sm2Tl2Hg3
_chemical_formula_sum 'Sm8 Tl8 Hg12'
_symmetry_space_group_name_H-M 'I 21 3'
_symmetry_Int_Tables_number 199
_symmetry_space_group_name_Hall 'I 2b 2c 3'
_cell_length_a 9.334
_cell_length_b 9.334
_cell_length_c 9.334
_cell_angle_alpha 90.00
_cell_angle_beta 90.00
_cell_angle_gamma 90.00
loop_
_atom_site_label
_atom_site_fract_x
_atom_site_fract_y
_atom_site_fract_z
_atom_site_occupancy
Sm1 0.229 0.229 0.229 1
Tl1 0.074 0.426 0.574 1
Hg1 0.000 0.250 0.975 1
# Formation enthalpy at 0 K ... -0.1722 eV per atom
# Excess energy over the best structure of this formula in the dataset ... 133 meV per atom

***

4.
# SmTlHg4 PBE relaxed
data_SmTlHg4
_chemical_formula_sum 'Sm1 Tl1 Hg4'
_symmetry_space_group_name_H-M 'P m m m'
_symmetry_Int_Tables_number 47
_cell_length_a 4.441
_cell_length_b 4.453
_cell_length_c 9.246
_cell_angle_alpha 90.00
_cell_angle_beta 90.00
_cell_angle_gamma 90.00
loop_
_symmetry_equiv_pos_as_xyz
'x,y,z'
'-x,-y,-z'
'-x,-y,z'
'x,y,-z'
'x,-y,-z'
'-x,y,z'
'-x,y,-z'
'x,-y,z'
loop_
_atom_site_label
_atom_site_fract_x
_atom_site_fract_y
_atom_site_fract_z
_atom_site_occupancy
Sm1 0.000 0.000 0.000 1
Tl1 0.500 0.500 0.500 1
Hg1 0.000 0.500 0.243 1
Hg2 0.500 0.000 0.244 1
# Formation enthalpy at 0 K ... -0.0792 eV per atom
# Excess energy over the best structure of this formula in the dataset ... 153 meV per atom

***

5.
# Sm3Tl3Hg2 PBE relaxed
data_Sm3Tl3Hg2
_chemical_formula_sum 'Sm3 Tl3 Hg2'
_symmetry_space_group_name_H-M 'P m m m'
_symmetry_Int_Tables_number 47
_cell_length_a 5.158
_cell_length_b 5.222
_cell_length_c 8.210
_cell_angle_alpha 90.00
_cell_angle_beta 90.00
_cell_angle_gamma 90.00
loop_
_symmetry_equiv_pos_as_xyz
'x,y,z'
'-x,-y,-z'
'-x,-y,z'
'x,y,-z'
'x,-y,-z'
'-x,y,z'
'-x,y,-z'
'x,-y,z'
loop_
_atom_site_label
_atom_site_fract_x
_atom_site_fract_y
_atom_site_fract_z
_atom_site_occupancy
Sm1 0.000 0.000 0.000 1
Sm2 0.000 0.000 0.500 1
Sm3 0.500 0.500 0.000 1
Tl1 0.500 0.000 0.249 1
Tl2 0.500 0.500 0.500 1
Hg1 0.000 0.500 0.245 1
# Formation enthalpy at 0 K ... -0.3342 eV per atom
# Excess energy over the best structure of this formula in the dataset ... 17 meV per atom

***

6.
# Sm6TlHg3 PBE relaxed
data_Sm6TlHg3
_chemical_formula_sum 'Sm12 Tl2 Hg6'
_symmetry_space_group_name_H-M 'P 1 21/m 1'
_symmetry_Int_Tables_number 11
_cell_length_a 9.592
_cell_length_b 5.309
_cell_length_c 11.793
_cell_angle_alpha 90.00
_cell_angle_beta 105.99
_cell_angle_gamma 90.00
loop_
_symmetry_equiv_pos_as_xyz
'x,y,z'
'-x,-y,-z'
'-x,y+1/2,-z'
'x,-y+1/2,z'
loop_
_atom_site_label
_atom_site_fract_x
_atom_site_fract_y
_atom_site_fract_z
_atom_site_occupancy
Sm1 0.028 0.250 0.404 1
Sm2 0.151 0.750 0.183 1
Sm3 0.240 0.250 0.998 1
Sm4 0.341 0.750 0.818 1
Sm5 0.377 0.250 0.342 1
Sm6 0.386 0.250 0.616 1
Tl1 0.448 0.750 0.111 1
Hg1 0.026 0.750 0.879 1
Hg2 0.122 0.250 0.716 1
Hg3 0.275 0.750 0.470 1
# Formation enthalpy at 0 K ... -0.3274 eV per atom